1.
VASP calculation (PBE) on an optimized crystal structure of KGa12Ag6.

Cell lengths 11.8199, 11.8199, 9.4559 Å; angles 90.00, 90.00, 120.00 degrees
Space group R-3m (No. 166, hexagonal axes)
One atom of each set of equivalent atoms:
K1 0.0000 0.0000 0.0000 [3 per cell]
Ga1 0.0000 0.3920 0.5000 [18 per cell]
Ga2 0.0808 0.1616 0.3022 [18 per cell]
Ag1 0.0512 0.5256 0.2278 [18 per cell]

Values from the calculation:
Mass density = 6.63 g cm⁻³
ΔE_f = -4 meV/atom

2.
VASP calculation (PBE) on an optimized crystal structure of Rb8IO4.

Cell lengths 14.5989, 8.4355, 11.3781 Å; angles 90.00, 128.77, 90.00 degrees
Space group C2/m (No. 12)
One atom of each set of equivalent atoms:
Rb1 0.0033 0.0000 0.3402 [4 per cell]
Rb2 0.0182 0.5000 0.3557 [4 per cell]
Rb3 0.2455 0.2392 0.6574 [8 per cell]
I1 0.0000 0.5000 0.0000 [2 per cell]
O1 0.0000 0.2463 0.5000 [4 per cell]
O2 0.2374 0.0000 0.4768 [4 per cell]

Values from the calculation:
Uncorrected formation energy = -1.0200 eV per atom
Mass density = 2.66 g cm⁻³

3.
VASP calculation (PBE) on an optimized crystal structure of Fe2ReIr.

Cell lengths 2.8076, 2.8076, 6.6888 Å; angles 90.00, 90.00, 90.00 degrees
Space group P4mm (No. 99)
One atom of each set of equivalent atoms:
Fe1 0.0000 0.0000 0.0000 [1 per cell]
Fe2 0.5000 0.5000 0.2119 [1 per cell]
Re1 0.5000 0.5000 0.7524 [1 per cell]
Ir1 0.0000 0.0000 0.4687 [1 per cell]

Values from the calculation:
Mass density = 15.44 g cm⁻³
ΔE_f = 3 meV/atom

4.
VASP calculation (PBE) on an optimized crystal structure of CsScB2.

Cell lengths 6.8360, 6.8360, 6.8360 Å; angles 90.00, 90.00, 90.00 degrees
Space group Fm-3m (No. 225)
One atom of each set of equivalent atoms:
Cs1 0.0000 0.0000 0.0000 [4 per cell]
Sc1 0.0000 0.0000 0.5000 [4 per cell]
B1 0.2500 0.2500 0.2500 [8 per cell]

Values from the calculation:
Mass density = 4.15 g cm⁻³
ΔE_f = 1775 meV/atom
Distance to the lowest polymorph of the same formula = 465.7 meV per atom

5.
VASP calculation (PBE) on an optimized crystal structure of YHoIn3.

Cell lengths 6.0376, 6.0376, 26.5055 Å; angles 90.00, 90.00, 120.00 degrees
Space group R-3m (No. 166, hexagonal axes)
One atom of each set of equivalent atoms:
Y1 0.0000 0.0000 0.1892 [6 per cell]
Ho1 0.0000 0.0000 0.3112 [6 per cell]
In1 0.9998 0.4999 0.2504 [18 per cell]

Values from the calculation:
Mass density = 7.12 g cm⁻³
ΔE_f = -203 meV/atom
Distance to the lowest polymorph of the same formula = 0.0 meV per atom

6.
VASP calculation (PBE) on an optimized crystal structure of CuW2.

Cell lengths 2.6759, 2.6759, 12.5061 Å; angles 90.00, 90.00, 90.00 degrees
Space group I4/mmm (No. 139)
One atom of each set of equivalent atoms:
Cu1 0.0000 0.0000 0.0000 [2 per cell]
W1 0.0000 0.0000 0.3421 [4 per cell]

Values from the calculation:
Mass density = 15.99 g cm⁻³
ΔE_f = 350 meV/atom
Distance to the lowest polymorph of the same formula = 39.6 meV per atom